[1]
The following is a PBE-GGA calculation of crystalline TaBi3Os at its relaxed geometry, from the Alexandria database.

The calculation puts the magnetization at 2.5 μB per formula unit. As for the calculated volume: 31.77 A^3/atom. The total energy comes out at -0.3894 Ry/atom.

```
TaBi3Os
1.0
-3.643 -2.406 -3.205
-1.679 -3.017 4.173
-3.639 3.800 1.284
Bi Os Ta
3 1 1
Cartesian
-1.822 -1.203 -1.603
-0.839 -1.508 2.086
-1.820 1.900 0.642
-4.480 -0.811 1.126
0.000 0.000 0.000
```

***

[2]
The following is a PBE-GGA calculation of crystalline Ta2BiOs at its relaxed geometry, from the Alexandria database.

The calculation puts the magnetization at 0.0 μB per formula unit. As for the calculated volume: 20.31 A^3/atom. The total energy comes out at -0.6469 Ry/atom.

```
Ta2BiOs
1.0
-3.269 1.932 1.448
-1.995 -3.533 0.209
0.658 -2.115 10.010
Ta Os Bi
4 2 2
Cartesian
-1.488 -2.201 8.130
-2.115 0.229 3.428
-4.104 -2.974 8.957
-1.504 -2.488 2.820
-2.632 -0.801 0.829
-1.985 -3.225 5.524
0.000 0.000 0.000
-2.621 -0.492 6.143
```